This record from the Alexandria database describes an optimized crystal structure of K2RbGaHg. The functional is GGA-PBE.

Structure (POSCAR):
```
K2RbGaHg
1.0
-2.809 -4.398 4.300
5.123 0.944 4.311
-2.713 4.024 2.343
K Ga Hg Rb
2 1 1 1
direct
0.000 0.500 0.000 K
0.500 0.000 0.000 K
0.000 0.000 0.000 Ga
0.000 0.000 0.500 Hg
0.500 0.500 0.500 Rb
```

- total energy (eV per atom) = -1.294
- spin magnetization (μB per cell) = 0.0
- E_form (eV per formula unit) = 0.02

=====

This record from the Alexandria database describes an optimized crystal structure of V2Zn2Ni7. The functional is GGA-PBE.

Structure (POSCAR):
```
V2Zn2Ni7
1.0
4.779 -0.001 -1.128
0.002 6.743 0.004
-1.423 -0.002 4.700
V Zn Ni
2 2 7
direct
0.755 0.500 0.755 V
0.245 0.500 0.245 V
0.725 0.000 0.275 Zn
0.275 0.000 0.725 Zn
0.000 0.318 0.500 Ni
0.500 0.682 0.000 Ni
0.000 0.682 0.500 Ni
0.500 0.318 0.000 Ni
0.000 0.000 0.000 Ni
0.500 0.798 0.500 Ni
0.500 0.202 0.500 Ni
```

- total energy (eV per atom) = -5.377
- spin magnetization (μB per cell) = 0.0
- E_form (eV per formula unit) = 2.11

=====

This record from the Alexandria database describes an optimized crystal structure of Sm4Er4Sc. The functional is GGA-PBE.

Structure (POSCAR):
```
Sm4Er4Sc
1.0
-2.353 -1.697 4.070
-7.277 -2.286 -2.091
1.395 -7.759 0.641
Sm Er Sc
4 4 1
direct
0.671 0.329 0.329 Sm
0.329 0.671 0.671 Sm
0.000 0.671 0.329 Sm
0.000 0.329 0.671 Sm
0.664 0.672 0.000 Er
0.336 0.328 0.000 Er
0.664 0.000 0.672 Er
0.336 0.000 0.328 Er
0.000 0.000 0.000 Sc
```

- total energy (eV per atom) = -4.795
- spin magnetization (μB per cell) = 0.0
- E_form (eV per formula unit) = 0.31

=====

This record from the Alexandria database describes an optimized crystal structure of AlCdBr2. The functional is GGA-PBE.

Structure (POSCAR):
```
AlCdBr2
1.0
-5.678 -2.885 4.183
-0.031 -2.851 7.066
1.184 5.515 -5.123
Al Br Cd
1 2 1
direct
0.250 0.750 0.500 Al
0.106 0.106 0.000 Br
0.394 0.394 0.000 Br
0.750 0.250 0.500 Cd
```

- total energy (eV per atom) = -2.268
- uncorrected formation energy (eV/atom) = -0.2674
- spin magnetization (μB per cell) = 0.0

=====

This record from the Alexandria database describes an optimized crystal structure of Ca4Cr2As. The functional is GGA-PBE.

Structure (POSCAR):
```
Ca4Cr2As
1.0
5.617 0.000 0.000
0.000 5.617 0.000
2.808 2.808 7.732
Cr As Ca
2 1 4
direct
0.608 0.608 0.784 Cr
0.392 0.392 0.216 Cr
0.000 0.000 0.000 As
0.813 0.813 0.374 Ca
0.187 0.187 0.626 Ca
0.000 0.500 0.000 Ca
0.500 0.000 0.000 Ca
```

- total energy (eV per atom) = -4.290
- spin magnetization (μB per cell) = 9.8
- E_form (eV per formula unit) = 1.87

=====

This record from the Alexandria database describes an optimized crystal structure of LiCu2. The functional is GGA-PBE.

Structure (POSCAR):
```
LiCu2
1.0
4.248 0.000 0.000
-2.124 3.679 0.000
0.000 0.000 2.461
Cu Li
2 1
direct
0.333 0.667 0.500 Cu
0.667 0.333 0.500 Cu
0.000 0.000 0.000 Li
```

- total energy (eV per atom) = -3.352
- spin magnetization (μB per cell) = 0.0
- E_form (eV per formula unit) = 0.05

=====

This record from the Alexandria database describes an optimized crystal structure of ZnIn2Br. The functional is GGA-PBE.

Structure (POSCAR):
```
ZnIn2Br
1.0
6.260 -0.018 0.076
5.192 3.498 0.076
2.205 0.670 4.823
Br In Zn
1 2 1
direct
0.227 0.227 0.267 Br
0.006 0.006 0.000 In
0.773 0.773 0.716 In
0.494 0.494 0.516 Zn
```

- total energy (eV per atom) = -2.207
- uncorrected formation energy (eV/atom) = -0.1014
- spin magnetization (μB per cell) = 0.0

=====

This record from the Alexandria database describes an optimized crystal structure of CrMo2Ir. The functional is GGA-PBE.

Structure (POSCAR):
```
CrMo2Ir
1.0
2.754 0.000 0.000
0.000 3.852 0.000
0.000 0.000 5.510
Cr Ir Mo
1 1 2
direct
0.500 0.500 0.250 Cr
0.500 0.500 0.750 Ir
0.000 0.000 0.007 Mo
0.000 0.000 0.493 Mo
```

- total energy (eV per atom) = -9.976
- spin magnetization (μB per cell) = 0.0
- E_form (eV per formula unit) = 0.24

=====

This record from the Alexandria database describes an optimized crystal structure of SiSb2Br. The functional is GGA-PBE.

Structure (POSCAR):
```
SiSb2Br
1.0
-6.937 -0.853 -2.230
2.227 -4.780 -5.100
-2.933 -6.516 -0.450
Sb Si Br
4 2 2
direct
0.573 0.125 0.250 Sb
0.177 0.625 0.250 Sb
0.375 0.427 0.750 Sb
0.875 0.823 0.750 Sb
0.500 0.500 0.000 Si
0.250 0.750 0.500 Si
0.000 0.000 0.000 Br
0.750 0.250 0.500 Br
```

- total energy (eV per atom) = -3.503
- uncorrected formation energy (eV/atom) = 0.3319
- spin magnetization (μB per cell) = 0.0

=====

This record from the Alexandria database describes an optimized crystal structure of Be3RhSe. The functional is GGA-PBE.

Structure (POSCAR):
```
Be3RhSe
1.0
4.231 0.000 0.000
0.000 4.231 0.000
0.000 0.000 4.231
Be Rh Se
3 1 1
direct
0.000 0.500 0.000 Be
0.000 0.000 0.500 Be
0.500 0.000 0.000 Be
0.000 0.000 0.000 Rh
0.500 0.500 0.500 Se
```

- total energy (eV per atom) = -3.954
- uncorrected formation energy (eV/atom) = 0.4491
- spin magnetization (μB per cell) = 0.0

=====

This record from the Alexandria database describes an optimized crystal structure of In3SnS. The functional is GGA-PBE.

Structure (POSCAR):
```
In3SnS
1.0
5.307 0.000 0.000
0.000 5.307 0.000
0.000 0.000 5.307
S Sn In
1 1 3
direct
0.000 0.000 0.000 S
0.500 0.500 0.500 Sn
0.000 0.500 0.000 In
0.000 0.000 0.500 In
0.500 0.000 0.000 In
```

- total energy (eV per atom) = -3.041
- uncorrected formation energy (eV/atom) = 0.2284
- spin magnetization (μB per cell) = 0.0

=====

This record from the Alexandria database describes an optimized crystal structure of PmCd2CuO4. The functional is GGA-PBE.

Structure (POSCAR):
```
PmCd2CuO4
1.0
3.361 0.000 0.000
-1.680 5.668 0.000
0.000 0.000 11.407
Pm Cd Cu O
2 4 2 8
direct
0.122 0.243 0.750 Pm
0.878 0.757 0.250 Pm
0.372 0.743 0.550 Cd
0.628 0.257 0.050 Cd
0.628 0.257 0.450 Cd
0.372 0.743 0.950 Cd
0.863 0.725 0.750 Cu
0.137 0.275 0.250 Cu
0.280 0.561 0.128 O
0.720 0.439 0.628 O
0.720 0.439 0.872 O
0.280 0.561 0.372 O
0.000 0.000 0.500 O
0.000 0.000 0.000 O
0.470 0.941 0.750 O
0.530 0.059 0.250 O
```

- total energy (eV per atom) = -5.308
- uncorrected formation energy (eV/atom) = -1.4939
- spin magnetization (μB per cell) = 0.0

=====

This record from the Alexandria database describes an optimized crystal structure of KAg2Os. The functional is GGA-PBE.

Structure (POSCAR):
```
KAg2Os
1.0
0.000 3.484 3.484
3.484 0.000 3.484
3.484 3.484 0.000
K Os Ag
1 1 2
direct
0.000 0.000 0.000 K
0.500 0.500 0.500 Os
0.250 0.250 0.250 Ag
0.750 0.750 0.750 Ag
```

- total energy (eV per atom) = -3.301
- spin magnetization (μB per cell) = 2.2
- E_form (eV per formula unit) = 4.83

=====

This record from the Alexandria database describes an optimized crystal structure of La3BiN. The functional is GGA-PBE.

Structure (POSCAR):
```
La3BiN
1.0
4.932 -2.848 0.000
0.000 5.695 0.000
0.000 0.000 9.659
N Bi La
2 2 6
direct
0.000 0.000 0.000 N
0.000 0.000 0.500 N
0.333 0.667 0.750 Bi
0.667 0.333 0.250 Bi
0.000 0.000 0.250 La
0.000 0.000 0.750 La
0.333 0.667 0.090 La
0.333 0.667 0.410 La
0.667 0.333 0.590 La
0.667 0.333 0.910 La
```

- total energy (eV per atom) = -5.869
- uncorrected formation energy (eV/atom) = -0.4709
- spin magnetization (μB per cell) = 0.0

=====

This record from the Alexandria database describes an optimized crystal structure of Pu2CdTc. The functional is GGA-PBE.

Structure (POSCAR):
```
Pu2CdTc
1.0
4.244 0.000 0.000
0.000 4.527 0.000
0.000 0.000 4.527
Cd Tc Pu
1 1 2
direct
0.500 0.500 0.500 Cd
0.500 0.000 0.000 Tc
0.000 0.000 0.500 Pu
0.000 0.500 0.000 Pu
```

- total energy (eV per atom) = -9.786
- spin magnetization (μB per cell) = 9.8
- E_form (eV per formula unit) = 0.80

=====

This record from the Alexandria database describes an optimized crystal structure of BPd2Pt2. The functional is GGA-PBE.

Structure (POSCAR):
```
BPd2Pt2
1.0
-3.977 0.749 3.843
-2.839 -4.324 -2.095
2.304 -2.947 2.959
B Pd Pt
2 4 4
direct
0.000 0.000 0.000 B
0.500 0.500 0.000 B
0.174 0.674 0.500 Pd
0.674 0.826 0.500 Pd
0.826 0.326 0.500 Pd
0.326 0.174 0.500 Pd
0.335 0.835 0.000 Pt
0.835 0.665 0.000 Pt
0.665 0.165 0.000 Pt
0.165 0.335 0.000 Pt
```

- total energy (eV per atom) = -5.877
- spin magnetization (μB per cell) = 0.0
- E_form (eV per formula unit) = -0.24

=====

This record from the Alexandria database describes an optimized crystal structure of KZrW2. The functional is GGA-PBE.

Structure (POSCAR):
```
KZrW2
1.0
5.307 0.018 -0.018
4.627 2.598 -0.018
0.083 0.022 7.370
K W Zr
1 2 1
direct
0.750 0.750 0.750 K
0.993 0.993 0.091 W
0.507 0.507 0.409 W
0.250 0.250 0.250 Zr
```

- total energy (eV per atom) = -7.764
- spin magnetization (μB per cell) = 0.0
- E_form (eV per formula unit) = 4.50

=====

This record from the Alexandria database describes an optimized crystal structure of SmPu2Hg6. The functional is GGA-PBE.

Structure (POSCAR):
```
SmPu2Hg6
1.0
6.050 0.137 -0.419
-0.484 6.021 -0.558
0.105 0.260 6.060
Sm Pu Hg
1 2 6
direct
0.000 0.000 0.000 Sm
0.660 0.661 0.661 Pu
0.340 0.339 0.339 Pu
0.166 0.500 0.834 Hg
0.834 0.166 0.500 Hg
0.834 0.500 0.166 Hg
0.500 0.166 0.834 Hg
0.166 0.834 0.500 Hg
0.500 0.834 0.166 Hg
```

- total energy (eV per atom) = -4.157
- spin magnetization (μB per cell) = 11.8
- E_form (eV per formula unit) = -2.22

=====

This record from the Alexandria database describes an optimized crystal structure of Zn3P5. The functional is GGA-PBE.

Structure (POSCAR):
```
Zn3P5
1.0
3.659 -3.641 0.000
3.659 3.641 0.000
0.000 0.000 4.734
Zn P
3 5
direct
0.500 0.500 0.000 Zn
0.676 0.324 0.500 Zn
0.324 0.676 0.500 Zn
0.000 0.000 0.000 P
0.000 0.500 0.000 P
0.500 0.000 0.000 P
0.150 0.150 0.500 P
0.850 0.850 0.500 P
```

- total energy (eV per atom) = -3.447
- spin magnetization (μB per cell) = 0.0
- E_form (eV per formula unit) = 3.29

=====

This record from the Alexandria database describes an optimized crystal structure of SrHIO2. The functional is GGA-PBE.

Structure (POSCAR):
```
SrHIO2
1.0
-4.405 -1.329 -0.297
0.588 -2.763 3.643
-1.918 5.378 4.389
I Sr O H
1 1 2 1
direct
0.000 0.000 0.500 I
0.000 0.000 0.000 Sr
0.000 0.500 0.000 O
0.500 0.000 0.000 O
0.500 0.500 0.500 H
```

- total energy (eV per atom) = -3.219
- spin magnetization (μB per cell) = 2.5

=====

This record from the Alexandria database describes an optimized crystal structure of K3OsPb2O6. The functional is GGA-PBE.

Structure (POSCAR):
```
K3OsPb2O6
1.0
-5.894 -0.382 -1.915
3.945 -4.641 -1.205
-0.877 -0.971 6.319
K Os Pb O
3 1 2 6
direct
0.165 0.835 0.500 K
0.835 0.165 0.500 K
0.500 0.500 0.500 K
0.000 0.000 0.000 Os
0.333 0.667 0.000 Pb
0.667 0.333 0.000 Pb
0.937 0.666 0.810 O
0.794 0.794 0.188 O
0.063 0.334 0.190 O
0.666 0.937 0.810 O
0.206 0.206 0.812 O
0.334 0.063 0.190 O
```

- total energy (eV per atom) = -5.500
- uncorrected formation energy (eV/atom) = -1.1923
- spin magnetization (μB per cell) = 3.0

=====

This record from the Alexandria database describes an optimized crystal structure of KAu2Cl. The functional is GGA-PBE.

Structure (POSCAR):
```
KAu2Cl
1.0
0.000 3.698 3.698
3.698 0.000 3.698
3.698 3.698 0.000
K Au Cl
1 2 1
direct
0.500 0.500 0.500 K
0.250 0.250 0.250 Au
0.750 0.750 0.750 Au
0.000 0.000 0.000 Cl
```

- total energy (eV per atom) = -2.195
- uncorrected formation energy (eV/atom) = 0.1799
- spin magnetization (μB per cell) = 0.0

=====

This record from the Alexandria database describes an optimized crystal structure of KRb6Na12. The functional is GGA-PBE.

Structure (POSCAR):
```
KRb6Na12
1.0
2.310 6.457 -8.534
2.151 -10.308 -2.995
-10.767 0.712 1.846
K Rb Na
1 6 12
direct
0.000 0.000 0.000 K
0.087 0.203 0.460 Rb
0.797 0.540 0.913 Rb
0.540 0.913 0.797 Rb
0.913 0.797 0.540 Rb
0.203 0.460 0.087 Rb
0.460 0.087 0.203 Rb
0.475 0.169 0.596 Na
0.169 0.596 0.475 Na
0.596 0.475 0.169 Na
0.525 0.831 0.404 Na
0.831 0.404 0.525 Na
0.404 0.525 0.831 Na
0.303 0.160 0.834 Na
0.166 0.697 0.840 Na
0.840 0.166 0.697 Na
0.697 0.840 0.166 Na
0.834 0.303 0.160 Na
0.160 0.834 0.303 Na
```

- total energy (eV per atom) = -1.128
- spin magnetization (μB per cell) = 0.0
- E_form (eV per formula unit) = 1.30

=====

This record from the Alexandria database describes an optimized crystal structure of Ti4PN. The functional is GGA-PBE.

Structure (POSCAR):
```
Ti4PN
1.0
6.203 -0.048 0.000
-2.549 5.656 0.000
-1.827 -2.804 5.223
Ti P N
8 2 2
direct
0.282 0.970 0.688 Ti
0.717 0.425 0.708 Ti
0.720 0.532 0.188 Ti
0.175 0.967 0.208 Ti
0.344 0.532 0.812 Ti
0.759 0.967 0.792 Ti
0.717 0.009 0.292 Ti
0.282 0.594 0.312 Ti
0.239 0.239 0.000 P
0.989 0.489 0.500 P
0.763 0.763 0.000 N
0.513 0.013 0.500 N
```

- total energy (eV per atom) = -8.507
- uncorrected formation energy (eV/atom) = -0.9544
- spin magnetization (μB per cell) = 0.0

=====

This record from the Alexandria database describes an optimized crystal structure of PtN. The functional is GGA-PBE.

Structure (POSCAR):
```
PtN
1.0
-2.571 0.293 -1.040
0.988 -1.393 -2.835
-0.572 -10.456 4.939
Pt N
4 4
direct
0.398 0.000 0.831 Pt
0.602 0.000 0.169 Pt
0.398 0.500 0.331 Pt
0.602 0.500 0.669 Pt
0.547 0.000 0.553 N
0.453 0.000 0.447 N
0.547 0.500 0.053 N
0.453 0.500 0.947 N
```

- total energy (eV per atom) = -6.753
- uncorrected formation energy (eV/atom) = 0.4301
- spin magnetization (μB per cell) = 0.0